La8Co2Ru: relaxed, PBE-GGA.

a = 7.721 Å, b = 7.721 Å, c = 6.695 Å
α = 103.04°, β = 103.04°, γ = 65.47°
Sites, in units of the cell vectors:
La1 0.094 0.094 0.253
La2 0.133 0.583 0.245
La3 0.368 0.368 0.760
La4 0.417 0.867 0.755
La5 0.583 0.133 0.245
La6 0.632 0.632 0.240
La7 0.867 0.417 0.755
La8 0.906 0.906 0.747
Co1 0.210 0.210 0.982
Co2 0.790 0.790 0.018
Ru1 0.500 0.500 0.500

Results
E_form, kJ per mole of atoms: -10.8
Electronic total energy, eV/atom: -5.831
Space group: No. 12



CsSbBr2Cl: relaxed, PBE-GGA.

a = 5.837 Å, b = 5.837 Å, c = 5.570 Å
α = 90.00°, β = 90.00°, γ = 90.00°
Sites, in units of the cell vectors:
Cs1 0.000 0.000 0.000
Sb1 0.500 0.500 0.500
Br1 0.000 0.500 0.500
Br2 0.500 0.000 0.500
Cl1 0.500 0.500 0.000

Results
Electronic total energy, eV/atom: -3.071
Space group: No. 123



The records above give, respectively, magnetic moment values of 0.0; 0.0 μB per formula unit.